Np3SeS3: optimized geometry, PBE.

- formation energy (no corrections) (meV/atom) = -1092
- DOS(E_F) (states/eV/f.u.) = 19.58

a = 5.6677 Å, b = 5.6677 Å, c = 5.6677 Å
α = 104.09°, β = 104.09°, γ = 104.09°
Fractional positions:
1 Np 0.0057 0.4972 0.4972
2 Np 0.4972 0.0057 0.4972
3 Np 0.4972 0.4972 0.0057
4 Se 0.5170 0.5170 0.5170
5 S 0.0730 0.0730 0.6468
6 S 0.0730 0.6468 0.0730
7 S 0.6468 0.0730 0.0730